[1]
The following is a PBE calculation of a geometry-optimized NaAgS2N structure, from Alexandria. Values from VASP.

Output
E_form (uncorrected) = 1.423 eV per atom
Space group = No. 123
E above lowest polymorph = 607 meV per atom

Cell and atoms, written as Quantum ESPRESSO input:
```
&SYSTEM
  ibrav = 0, nat = 5, ntyp = 4
/
ATOMIC_SPECIES
Na 22.99 Na.upf
S 32.06 S.upf
Ag 107.87 Ag.upf
N 14.01 N.upf
ATOMIC_POSITIONS crystal
Na 0.000 0.000 0.000
S 0.000 0.500 0.000
S 0.500 0.000 0.000
Ag 0.500 0.500 0.500
N 0.000 0.000 0.500
CELL_PARAMETERS angstrom
5.054 0.000 0.000
0.000 5.054 0.000
0.000 0.000 4.400
```


[2]
The following is a PBE calculation of a geometry-optimized Tb8PrSm5 structure, from Alexandria. Values from VASP.

Output
Energy of formation from the pure elements = 42 meV per atom
Space group = No. 8

Cell and atoms, written as Quantum ESPRESSO input:
```
&SYSTEM
  ibrav = 0, nat = 14, ntyp = 3
/
ATOMIC_SPECIES
Tb 158.93 Tb.upf
Pr 140.91 Pr.upf
Sm 150.36 Sm.upf
ATOMIC_POSITIONS crystal
Tb 0.195 0.281 0.390
Tb 0.775 0.730 0.549
Tb 0.089 0.634 0.178
Tb 0.881 0.361 0.763
Tb 0.131 0.854 0.262
Tb 0.835 0.148 0.669
Tb 0.462 0.788 0.924
Tb 0.504 0.208 0.007
Pr 0.555 0.427 0.110
Sm 0.398 0.570 0.795
Sm 0.730 0.498 0.459
Sm 0.309 0.944 0.617
Sm 0.656 0.058 0.312
Sm 0.983 0.998 0.965
CELL_PARAMETERS angstrom
3.498 0.000 -0.684
-0.209 14.969 -1.071
-0.093 0.547 8.811
```